This record from the Alexandria database describes a relaxed Li3NiAg crystal. The functional is PBE.

Output
Theoretical density ... 3.00 g/cm3
Total moment ... 0.03 μB per cell
Formation energy from the elements ... 12.87 kcal/mol of atoms

```
5
Lattice="4.699 0.000 0.000 0.000 4.699 0.000 0.000 0.000 4.699" Properties=species:S:1:pos:R:3 pbc="T T T"
Li 0.000 0.000 2.350
Li 0.000 2.350 0.000
Li 2.350 0.000 0.000
Ni 2.350 2.350 2.350
Ag 0.000 0.000 0.000
```

***

This record from the Alexandria database describes a relaxed LiNi2Ag crystal. The functional is PBE.

Output
Theoretical density ... 7.55 g/cm3
Total moment ... 0.41 μB per cell
Formation energy from the elements ... 5.20 kcal/mol of atoms

```
4
Lattice="2.924 0.000 0.000 0.000 2.924 0.000 0.000 0.000 5.972" Properties=species:S:1:pos:R:3 pbc="T T T"
Li 0.000 0.000 0.000
Ni 1.462 1.462 1.277
Ni 1.462 1.462 4.695
Ag 0.000 0.000 2.986
```

***

This record from the Alexandria database describes a relaxed Li6NiAg2 crystal. The functional is PBE.

Output
Theoretical density ... 3.67 g/cm3
Total moment ... 0.00 μB per cell
Formation energy from the elements ... -1.73 kcal/mol of atoms

```
9
Lattice="6.007 -2.034 0.000 6.007 2.034 0.000 -2.085 0.000 5.848" Properties=species:S:1:pos:R:3 pbc="T T T"
Li 0.835 0.000 1.020
Li 0.804 0.000 4.815
Li 3.197 0.000 2.945
Li 6.731 0.000 2.903
Li 9.124 0.000 1.033
Li 9.094 0.000 4.828
Ni -1.042 0.000 2.924
Ag 4.935 0.000 0.972
Ag 4.993 0.000 4.876
```

***

This record from the Alexandria database describes a relaxed LiNi2Ag crystal. The functional is PBE.

Output
Theoretical density ... 7.26 g/cm3
Total moment ... 1.10 μB per cell
Formation energy from the elements ... 3.16 kcal/mol of atoms

```
8
Lattice="2.783 0.000 0.000 0.000 4.406 0.000 0.000 0.000 8.657" Properties=species:S:1:pos:R:3 pbc="T T T"
Li 0.000 0.000 0.000
Li 1.392 2.203 4.329
Ni 0.000 0.000 4.101
Ni 0.000 2.203 6.509
Ni 1.392 0.000 2.180
Ni 1.392 2.203 8.430
Ag 0.000 2.203 2.040
Ag 1.392 0.000 6.368
```

***

This record from the Alexandria database describes a relaxed LiNiAg2 crystal. The functional is PBE.

Output
Theoretical density ... 7.77 g/cm3
Total moment ... 0.00 μB per cell
Formation energy from the elements ... 1.00 kcal/mol of atoms

```
4
Lattice="2.845 0.000 0.000 0.000 3.656 0.000 0.000 0.000 5.782" Properties=species:S:1:pos:R:3 pbc="T T T"
Li 0.000 0.000 0.000
Ni 0.000 0.000 2.891
Ag 1.423 1.828 1.474
Ag 1.423 1.828 4.308
```

***

This record from the Alexandria database describes a relaxed Li12NiAg3 crystal. The functional is PBE.

Output
Theoretical density ... 2.99 g/cm3
Total moment ... 0.00 μB per cell
Formation energy from the elements ... -1.68 kcal/mol of atoms

```
16
Lattice="4.054 0.000 0.000 0.000 4.054 0.000 0.000 0.000 15.734" Properties=species:S:1:pos:R:3 pbc="T T T"
Li 0.000 0.000 0.000
Li 0.000 0.000 3.792
Li 0.000 0.000 7.867
Li 0.000 0.000 11.943
Li 0.000 2.027 1.748
Li 0.000 2.027 5.823
Li 0.000 2.027 9.911
Li 0.000 2.027 13.986
Li 2.027 0.000 1.748
Li 2.027 0.000 5.823
Li 2.027 0.000 9.911
Li 2.027 0.000 13.986
Ni 2.027 2.027 0.000
Ag 2.027 2.027 3.760
Ag 2.027 2.027 7.867
Ag 2.027 2.027 11.974
```

***

This record from the Alexandria database describes a relaxed LiNi2Ag crystal. The functional is PBE.

Output
Theoretical density ... 7.38 g/cm3
Total moment ... 0.79 μB per cell
Formation energy from the elements ... 1.73 kcal/mol of atoms

```
4
Lattice="2.662 0.000 0.000 0.000 3.564 0.000 -0.018 0.000 5.508" Properties=species:S:1:pos:R:3 pbc="T T T"
Li 0.000 0.000 0.000
Ni -0.009 0.000 3.069
Ni 1.321 1.782 4.104
Ag 1.326 1.782 1.436
```

***

This record from the Alexandria database describes a relaxed LiNi3Ag crystal. The functional is PBE.

Output
Theoretical density ... 4.66 g/cm3
Total moment ... 1.75 μB per cell
Formation energy from the elements ... 28.02 kcal/mol of atoms

```
5
Lattice="4.696 0.000 0.000 0.000 4.696 0.000 0.000 0.000 4.696" Properties=species:S:1:pos:R:3 pbc="T T T"
Li 0.000 0.000 0.000
Ni 0.000 2.348 2.348
Ni 2.348 0.000 2.348
Ni 2.348 2.348 0.000
Ag 2.348 2.348 2.348
```

***

This record from the Alexandria database describes a relaxed Li12NiAg6 crystal. The functional is PBE.

Output
Theoretical density ... 4.01 g/cm3
Total moment ... 0.00 μB per cell
Formation energy from the elements ... -2.81 kcal/mol of atoms

```
19
Lattice="4.878 2.816 3.968 -4.878 2.816 3.968 0.000 -5.633 3.968" Properties=species:S:1:pos:R:3 pbc="T T T"
Li -4.391 0.981 5.021
Li -3.045 -3.313 6.882
Li -1.649 -0.309 3.812
Li 1.346 -4.293 5.021
Li 1.092 -1.273 3.812
Li 0.557 1.583 3.812
Li -0.557 -1.583 8.091
Li -1.092 1.273 8.091
Li -1.346 4.293 6.882
Li 1.649 0.309 8.091
Li 3.045 3.313 5.021
Li 4.391 -0.981 6.882
Ni 0.000 0.000 5.952
Ag -0.755 -2.578 5.466
Ag -2.610 -0.635 6.438
Ag -1.855 1.943 5.466
Ag 1.855 -1.943 6.438
Ag 2.610 0.635 5.466
Ag 0.755 2.578 6.438
```

***

This record from the Alexandria database describes a relaxed LiNi2Ag crystal. The functional is PBE.

Output
Theoretical density ... 7.42 g/cm3
Total moment ... 0.00 μB per cell
Formation energy from the elements ... 2.22 kcal/mol of atoms

```
8
Lattice="5.030 0.000 0.000 0.000 8.978 0.000 -1.215 0.000 2.300" Properties=species:S:1:pos:R:3 pbc="T T T"
Li 0.000 0.000 0.000
Li 2.515 4.489 0.000
Ni 0.650 2.244 1.150
Ni 0.650 6.733 1.150
Ni 3.165 2.244 1.150
Ni 3.165 6.733 1.150
Ag 0.000 4.489 0.000
Ag 2.515 0.000 0.000
```

***

This record from the Alexandria database describes a relaxed LiNiAg crystal. The functional is PBE.

Output
Theoretical density ... 6.69 g/cm3
Total moment ... 1.49 μB per cell
Formation energy from the elements ... 2.68 kcal/mol of atoms

```
12
Lattice="2.915 0.000 0.000 0.000 4.512 0.000 0.000 0.000 13.106" Properties=species:S:1:pos:R:3 pbc="T T T"
Li 0.000 0.000 0.000
Li 0.000 2.256 6.553
Li 1.457 0.000 6.553
Li 1.457 2.256 0.000
Ni 0.000 0.000 4.559
Ni 0.000 2.256 11.112
Ni 1.457 0.000 11.112
Ni 1.457 2.256 4.559
Ag 0.000 0.000 8.864
Ag 0.000 2.256 2.311
Ag 1.457 0.000 2.311
Ag 1.457 2.256 8.864
```

***

This record from the Alexandria database describes a relaxed Li2NiAg2 crystal. The functional is PBE.

Output
Theoretical density ... 5.88 g/cm3
Total moment ... 0.00 μB per cell
Formation energy from the elements ... 2.41 kcal/mol of atoms

```
10
Lattice="6.713 0.000 0.000 0.000 6.713 0.000 0.000 0.000 3.612" Properties=species:S:1:pos:R:3 pbc="T T T"
Li 1.092 2.265 0.000
Li 2.265 5.622 0.000
Li 4.449 1.092 0.000
Li 5.622 4.449 0.000
Ni 0.000 0.000 1.806
Ni 3.357 3.357 1.806
Ag 0.973 4.329 1.806
Ag 2.384 0.973 1.806
Ag 4.329 5.741 1.806
Ag 5.741 2.384 1.806
```